# 1
Entry from the Alexandria database: crystalline MgRe2Br at its relaxed geometry (GGA-PBE).

a = 2.8349 Å, b = 2.8349 Å, c = 9.6875 Å
α = 90.00°, β = 90.00°, γ = 118.92°
Closest atoms and distances in Å follow each position.
Sites, in units of the cell vectors:
Mg 0.0000 0.0000 0.0000  4 Re 2.78, 6 Mg 2.83-2.88
Re 0.5000 0.5000 0.2456  2 Mg 2.78, 6 Re 2.83-2.88, 2 Br 2.85
Re 0.5000 0.5000 0.7544  2 Mg 2.78, 6 Re 2.83-2.88, 2 Br 2.85
Br 0.0000 0.0000 0.5000  6 Br 2.83-2.88, 4 Re 2.85

Output
* SG: No. 65
* ΔE_f (raw): 1.033 eV/atom
* polymorph energy (0 for the lowest one): 84.7 kJ per mole of atoms

# 2
Entry from the Alexandria database: crystalline AcUBiN2 at its relaxed geometry (GGA-PBE).

a = 7.2699 Å, b = 7.2699 Å, c = 5.7526 Å
α = 90.00°, β = 90.00°, γ = 131.75°
Closest atoms and distances in Å follow each position.
Sites, in units of the cell vectors:
Ac 0.1034 0.8966 0.7500  4 N 2.61
Ac 0.8966 0.1034 0.2500  4 N 2.61
U 0.4288 0.5712 0.7500  4 N 2.15
U 0.5712 0.4288 0.2500  4 N 2.15
Bi 0.2497 0.7503 0.2500  4 Ac 3.47-3.55, 4 U 3.73-3.80, 4 N 3.84
Bi 0.7503 0.2497 0.7500  4 Ac 3.47-3.55, 4 U 3.73-3.80, 4 N 3.84
N 0.2839 0.2839 0.0000  2 U 2.15
N 0.2839 0.2839 0.5000  2 U 2.15
N 0.7161 0.7161 0.0000  2 U 2.15
N 0.7161 0.7161 0.5000  2 U 2.15

Output
* SG: No. 63
* ΔE_f (raw): -1.186 eV/atom

# 3
Entry from the Alexandria database: crystalline RbSrAgHg at its relaxed geometry (GGA-PBE).

a = 5.8544 Å, b = 5.8544 Å, c = 5.8544 Å
α = 60.00°, β = 60.00°, γ = 60.00°
Closest atoms and distances in Å follow each position.
Sites, in units of the cell vectors:
Rb 0.0000 0.0000 0.0000  4 Ag 3.59, 4 Hg 3.59
Sr 0.5000 0.5000 0.5000  4 Ag 3.59, 4 Hg 3.59
Ag 0.7500 0.7500 0.7500  4 Rb 3.59, 4 Sr 3.59
Hg 0.2500 0.2500 0.2500  4 Rb 3.59, 4 Sr 3.59

Output
* SG: No. 216
* ΔE_f: -109 meV/atom